# 1
Entry from Alexandria via LeMat-Bulk: VPt4Rh after structural relaxation (GGA-PBE).

Lattice parameters (Å, degrees): 3.8620 11.7953 7.8627 90.00 90.00 90.00
Last column: nearest neighbours and their distance in Å.
Space group Cmc2_1 (No. 36)
Asymmetric unit:
V 0.0000 0.1709 0.0000  9 Pt 2.67-2.87, 3 Rh 2.69-2.81
Pt 0.0000 0.0018 0.2438  2 Rh 2.75, 8 Pt 2.76-2.85, 2 V 2.77-2.87
Pt 0.0000 0.1734 0.4933  2 V 2.67, 7 Pt 2.68-2.86, 3 Rh 2.68-2.79
Pt 0.0000 0.3310 0.2486  7 Pt 2.68-2.87, 3 V 2.72-2.76, 2 Rh 2.73
Pt 0.0000 0.4949 0.4936  2 Rh 2.71-2.87, 8 Pt 2.73-2.87, 2 V 2.75
Rh 0.0000 0.3323 0.7374  9 Pt 2.68-2.87, 3 V 2.69-2.81

## Properties
distance to the lowest polymorph of the same formula = 0.0000 eV/atom
E_form = -0.362 eV/atom
total magnetic moment = 0.00 μB/f.u.
V = 14.924 Å³ per atom
crystal system = orthorhombic


# 2
Entry from Alexandria via LeMat-Bulk: V3Pt2Rh6 after structural relaxation (GGA-PBE).

Lattice parameters (Å, degrees): 4.6519 6.1147 6.1818 108.02 98.69 104.86
Last column: nearest neighbours and their distance in Å.
Space group P-1 (No. 2)
Asymmetric unit:
V 0.0000 0.0000 0.0000  8 Rh 2.57-2.76, 2 Pt 2.66
V 0.1063 0.3768 0.8014  8 Rh 2.57-2.81, 2 Pt 2.70-2.71
Pt 0.2649 0.0868 0.4441  3 V 2.66-2.71, 2 Pt 2.70-2.75, 7 Rh 2.71-2.86
Rh 0.1852 0.7211 0.6376  3 V 2.57-2.76, 6 Rh 2.66-2.80, 3 Pt 2.71-2.82
Rh 0.3349 0.4422 0.2446  4 V 2.57-2.65, 5 Rh 2.66-2.80, 2 Pt 2.79-2.86
Rh 0.4460 0.8091 0.0862  5 V 2.59-2.81, 5 Rh 2.66-2.82, 2 Pt 2.73-2.81

## Properties
E_form = -0.340 eV/atom
total magnetic moment = 0.00 μB/f.u.
V = 14.224 Å³ per atom
crystal system = triclinic


# 3
Entry from Alexandria via LeMat-Bulk: V4PtRh4 after structural relaxation (GGA-PBE).

Lattice parameters (Å, degrees): 5.6660 5.6660 8.7056 90.00 90.00 90.00
Last column: nearest neighbours and their distance in Å.
Space group P4_2/nmc (No. 137, origin choice 2)
Asymmetric unit:
V 0.0099 0.7500 0.0174  5 Rh 2.53-2.66, 1 Pt 2.70, 1 V 2.72
Pt 0.2500 0.7500 0.7500  4 V 2.70
Rh 0.0333 0.2500 0.6785  3 Rh 2.46-2.59, 5 V 2.53-2.66

## Properties
E_form = 0.100 eV/atom
total magnetic moment = 0.00 μB/f.u.
V = 15.527 Å³ per atom
crystal system = tetragonal